A relaxed structure of MnW2Cl, computed with GGA-PBE.

Properties
As for the total magnetic moment: 2.2 μB/f.u. The calculation puts the total DFT energy (no corrections) at -0.313 hartree per atom. For the energy relative to the lowest polymorph listed for this composition, the calculation gives 161 kJ/mol of formula units.

Cell lengths 5.097, 5.097, 4.445 Å; angles 87.79, 87.79, 34.35 degrees
Site moments in Bohr magnetons follow the coordinates.
Positions (direct):
W 0.534 0.534 0.466  -0.29
W 0.966 0.966 0.034  -0.29
Cl 0.750 0.750 0.750  -0.03
Mn 0.250 0.250 0.250  2.84

---

A relaxed structure of LiZrFe2, computed with GGA-PBE.

Properties
As for the total magnetic moment: 3.3 μB/f.u. As for the energy of formation from the pure elements: 452 meV/atom. The calculation puts the total DFT energy (no corrections) at -0.235 hartree per atom.

Cell lengths 6.807, 6.807, 5.459 Å; angles 51.43, 51.43, 90.00 degrees
Site moments in Bohr magnetons follow the coordinates.
Positions (direct):
Fe 0.151 0.625 0.250  2.10
Li 0.250 0.750 0.500  -0.07
Li 0.500 0.500 0.000  -0.07
Fe 0.599 0.125 0.250  2.10
Zr 0.000 0.000 0.000  -0.59
Fe 0.875 0.849 0.750  2.09
Zr 0.750 0.250 0.500  -0.58
Fe 0.375 0.401 0.750  2.08

---

A relaxed structure of Tb2MnPN5, computed with GGA-PBE.

Properties
As for the total magnetic moment: 3.0 μB/f.u. The calculation puts the total DFT energy (no corrections) at -0.300 hartree per atom.

Cell lengths 3.087, 6.964, 9.932 Å; angles 90.00, 90.00, 102.81 degrees
Site moments in Bohr magnetons follow the coordinates.
Positions (direct):
Tb 0.116 0.231 0.671  0.07
N 0.679 0.357 0.893  0.00
N 0.347 0.693 0.006  0.06
Tb 0.884 0.769 0.171  0.07
N 0.711 0.422 0.160  0.02
Tb 0.139 0.278 0.318  0.03
N 0.289 0.578 0.660  0.02
N 0.953 0.907 0.520  -0.01
N 0.498 0.996 0.792  0.00
N 0.047 0.093 0.020  -0.01
Mn 0.210 0.420 0.033  2.64
Tb 0.861 0.722 0.818  0.03
N 0.321 0.643 0.393  0.00
Mn 0.790 0.580 0.533  2.64
P 0.560 0.120 0.930  0.01
N 0.502 0.004 0.292  0.00
P 0.440 0.880 0.430  0.01
N 0.653 0.307 0.506  0.06

---

A relaxed structure of Te4RhSe, computed with GGA-PBE.

Properties
As for the total magnetic moment: 1.3 μB/f.u. The calculation puts the total DFT energy (no corrections) at -0.109 hartree per atom.

Cell lengths 6.154, 6.154, 6.154 Å; angles 60.00, 60.00, 60.00 degrees
Site moments in Bohr magnetons follow the coordinates.
Positions (direct):
Te 0.876 0.375 0.375  0.01
Te 0.375 0.375 0.375  0.01
Rh 0.750 0.750 0.750  0.98
Te 0.375 0.876 0.375  0.01
Te 0.375 0.375 0.876  0.01
Se 0.000 0.000 0.000  0.13

---

A relaxed structure of CaCdTcH2, computed with GGA-PBE.

Properties
As for the total magnetic moment: 0.4 μB/f.u. The calculation puts the total DFT energy (no corrections) at -0.130 hartree per atom.

Cell lengths 4.021, 5.140, 4.021 Å; angles 90.00, 90.00, 90.00 degrees
Site moments in Bohr magnetons follow the coordinates.
Positions (direct):
H 0.500 0.000 0.000  0.00
H 0.000 0.000 0.500  -0.01
Cd 0.000 0.500 0.000  -0.01
Tc 0.000 0.000 0.000  0.40
Ca 0.500 0.500 0.500  -0.01

---

A relaxed structure of Np2GeAs, computed with GGA-PBE.

Properties
As for the total magnetic moment: 7.1 μB/f.u. As for the energy of formation from the pure elements: -13 meV/atom. The calculation puts the total DFT energy (no corrections) at -0.323 hartree per atom. For the energy relative to the lowest polymorph listed for this composition, the calculation gives 135 kJ/mol of formula units.

Cell lengths 3.002, 3.002, 10.429 Å; angles 81.73, 81.73, 60.00 degrees
Site moments in Bohr magnetons follow the coordinates.
Positions (direct):
Np 0.749 0.749 0.753  3.43
Np 0.251 0.251 0.247  3.43
Ge 0.500 0.500 0.500  -0.04
As 0.000 0.000 0.000  -0.01

---

A relaxed structure of VMo2PtCl, computed with GGA-PBE.

Properties
As for the total magnetic moment: 0.0 μB/f.u. The calculation puts the total DFT energy (no corrections) at -0.256 hartree per atom.

Cell lengths 4.380, 4.208, 4.380 Å; angles 90.00, 90.00, 90.00 degrees
Positions (direct):
Mo 0.000 0.000 0.500
Cl 0.000 0.000 0.000
Pt 0.500 0.500 0.500
V 0.000 0.500 0.000
Mo 0.500 0.000 0.000

---

A relaxed structure of RbVCu3, computed with GGA-PBE.

Properties
As for the total magnetic moment: 3.4 μB/f.u. As for the energy of formation from the pure elements: 2101 meV/atom. The calculation puts the total DFT energy (no corrections) at -0.087 hartree per atom. For the energy relative to the lowest polymorph listed for this composition, the calculation gives 553 kJ/mol of formula units.

Cell lengths 5.105, 5.105, 5.105 Å; angles 90.00, 90.00, 90.00 degrees
Site moments in Bohr magnetons follow the coordinates.
Positions (direct):
Rb 0.000 0.000 0.000  -0.03
Cu 0.000 0.500 0.000  -0.02
Cu 0.000 0.000 0.500  -0.02
V 0.500 0.500 0.500  2.91
Cu 0.500 0.000 0.000  -0.02

---

A relaxed structure of YZn4Pd2, computed with GGA-PBE.

Properties
As for the total magnetic moment: 0.0 μB/f.u. As for the energy of formation from the pure elements: 5 meV/atom. The calculation puts the total DFT energy (no corrections) at -0.115 hartree per atom. For the energy relative to the lowest polymorph listed for this composition, the calculation gives 364 kJ/mol of formula units.

Cell lengths 5.967, 5.967, 5.967 Å; angles 102.52, 102.52, 124.50 degrees
Positions (direct):
Y 0.000 0.000 0.000
Zn 0.732 0.500 0.232
Zn 0.268 0.500 0.768
Pd 0.250 0.750 0.500
Zn 0.500 0.268 0.768
Zn 0.500 0.732 0.232
Pd 0.750 0.250 0.500

---

A relaxed structure of MgZr2RePd, computed with GGA-PBE.

Properties
As for the total magnetic moment: 0.0 μB/f.u. As for the energy of formation from the pure elements: 925 meV/atom. The calculation puts the total DFT energy (no corrections) at -0.233 hartree per atom.

Cell lengths 5.033, 5.033, 4.805 Å; angles 90.00, 90.00, 90.00 degrees
Positions (direct):
Zr 0.500 0.000 0.000
Zr 0.000 0.500 0.000
Pd 0.000 0.000 0.000
Re 0.000 0.000 0.500
Mg 0.500 0.500 0.500

---

A relaxed structure of MnOsRu2, computed with GGA-PBE.

Properties
As for the total magnetic moment: 1.0 μB/f.u. As for the energy of formation from the pure elements: 112 meV/atom. The calculation puts the total DFT energy (no corrections) at -0.354 hartree per atom. For the energy relative to the lowest polymorph listed for this composition, the calculation gives 13 kJ/mol of formula units.

Cell lengths 2.676, 2.676, 7.494 Å; angles 90.00, 90.00, 90.00 degrees
Site moments in Bohr magnetons follow the coordinates.
Positions (direct):
Os 0.500 0.500 0.741  -0.14
Mn 0.000 0.000 0.500  1.23
Ru 0.500 0.500 0.260  -0.16
Ru 0.000 0.000 0.000  0.01

---

A relaxed structure of PmNiAsPd, computed with GGA-PBE.

Properties
As for the total magnetic moment: 0.0 μB/f.u. As for the energy of formation from the pure elements: -488 meV/atom. The calculation puts the total DFT energy (no corrections) at -0.205 hartree per atom.

Cell lengths 4.670, 4.670, 4.670 Å; angles 60.00, 60.00, 60.00 degrees
Positions (direct):
Pd 0.250 0.250 0.250
Pm 0.000 0.000 0.000
As 0.500 0.500 0.500
Ni 0.750 0.750 0.750

---

Repeat the sixth record exactly.
A relaxed structure of Np2GeAs, computed with GGA-PBE.

Properties
As for the total magnetic moment: 7.1 μB/f.u. As for the energy of formation from the pure elements: -13 meV/atom. The calculation puts the total DFT energy (no corrections) at -0.323 hartree per atom. For the energy relative to the lowest polymorph listed for this composition, the calculation gives 135 kJ/mol of formula units.

Cell lengths 3.002, 3.002, 10.429 Å; angles 81.73, 81.73, 60.00 degrees
Site moments in Bohr magnetons follow the coordinates.
Positions (direct):
Np 0.749 0.749 0.753  3.43
Np 0.251 0.251 0.247  3.43
Ge 0.500 0.500 0.500  -0.04
As 0.000 0.000 0.000  -0.01

---

> What is the total DFT energy (no corrections) in the second record?

-0.235 hartree per atom